A | This record from the Alexandria database describes an optimized crystal structure of Tb3Ho3Tm. The functional is PBE-GGA.

Values from the calculation:
DOS at the Fermi energy ... 14.220 states/eV/f.u.

Cell: 5.6228 9.5069 9.5067 Å, 120.00 90.00 90.00°
Last column: nearest neighbours and their distance in Å.
Element x y z (fractional)
Tb (0.7500, 0.7603, 0.8080)  5 Ho 3.49-3.59, 6 Tb 3.50-3.62, 1 Tm 3.58
Tb (0.7500, 0.0477, 0.2396)  5 Ho 3.49-3.60, 6 Tb 3.50-3.62, 1 Tm 3.58
Tb (0.7500, 0.1919, 0.9523)  5 Ho 3.49-3.59, 6 Tb 3.50-3.62, 1 Tm 3.58
Tb (0.2500, 0.2397, 0.1920)  5 Ho 3.49-3.59, 6 Tb 3.50-3.62, 1 Tm 3.58
Tb (0.2500, 0.9523, 0.7604)  5 Ho 3.49-3.60, 6 Tb 3.50-3.62, 1 Tm 3.58
Tb (0.2500, 0.8081, 0.0477)  5 Ho 3.49-3.59, 6 Tb 3.50-3.62, 1 Tm 3.58
Ho (0.2500, 0.5238, 0.6187)  5 Tb 3.49-3.60, 4 Ho 3.49-3.60, 3 Tm 3.50-3.59
Ho (0.2500, 0.0949, 0.4762)  5 Tb 3.49-3.59, 4 Ho 3.49-3.60, 3 Tm 3.50-3.59
Ho (0.2500, 0.3813, 0.9051)  5 Tb 3.49-3.59, 4 Ho 3.49-3.60, 3 Tm 3.50-3.59
Ho (0.7500, 0.4762, 0.3813)  5 Tb 3.49-3.60, 4 Ho 3.49-3.60, 3 Tm 3.50-3.59
Ho (0.7500, 0.9051, 0.5238)  5 Tb 3.49-3.59, 4 Ho 3.49-3.60, 3 Tm 3.50-3.59
Ho (0.7500, 0.6187, 0.0949)  5 Tb 3.49-3.59, 4 Ho 3.49-3.60, 3 Tm 3.50-3.59
Tm (0.7500, 0.3333, 0.6666)  9 Ho 3.50-3.59, 3 Tb 3.58
Tm (0.2500, 0.6667, 0.3334)  9 Ho 3.50-3.59, 3 Tb 3.58

B | This record from the Alexandria database describes an optimized crystal structure of Tb3Ho3Tm. The functional is PBE-GGA.

Values from the calculation:
DOS at the Fermi energy ... 9.562 states/eV/f.u.

Cell: 6.1313 6.1313 14.4988 Å, 77.79 77.79 60.00°
Last column: nearest neighbours and their distance in Å.
Element x y z (fractional)
Tb (0.1990, 0.8676, 0.3969)  3 Ho 3.48, 9 Tb 3.52-3.55
Tb (0.5366, 0.1990, 0.3969)  3 Ho 3.48, 9 Tb 3.52-3.55
Tb (0.8676, 0.5366, 0.3969)  3 Ho 3.48, 9 Tb 3.52-3.55
Tb (0.1324, 0.4634, 0.6031)  3 Ho 3.48, 9 Tb 3.52-3.55
Tb (0.4634, 0.8010, 0.6031)  3 Ho 3.48, 9 Tb 3.52-3.55
Tb (0.8010, 0.1324, 0.6031)  3 Ho 3.48, 9 Tb 3.52-3.55
Ho (0.9345, 0.2682, 0.1967)  2 Tm 3.44, 3 Tb 3.48, 6 Ho 3.54-3.55
Ho (0.6005, 0.9345, 0.1967)  2 Tm 3.44, 3 Tb 3.48, 6 Ho 3.54-3.55
Ho (0.2682, 0.6005, 0.1967)  2 Tm 3.44, 3 Tb 3.48, 6 Ho 3.54-3.55
Ho (0.7318, 0.3995, 0.8033)  2 Tm 3.44, 3 Tb 3.48, 6 Ho 3.54-3.55
Ho (0.3995, 0.0655, 0.8033)  2 Tm 3.44, 3 Tb 3.48, 6 Ho 3.54-3.55
Ho (0.0655, 0.7318, 0.8033)  2 Tm 3.44, 3 Tb 3.48, 6 Ho 3.54-3.55
Tm (0.6667, 0.6667, 0.9999)  6 Ho 3.44, 3 Tm 3.54
Tm (0.3333, 0.3333, 0.0001)  6 Ho 3.44, 3 Tm 3.54

Stability summary: most stable A, least stable B.